# 1
This record from Alexandria via LeMat-Bulk describes a relaxed structure of Tb6Nd3Pu. The functional is GGA-PBE.

CIF file:
```
data_Tb6Nd3Pu
_chemical_formula_sum 'Tb6 Nd3 Pu1'
_space_group_name_H-M_alt 'P 1'
_space_group_IT_number 1
_cell_length_a 6.910
_cell_length_b 6.910
_cell_length_c 6.910
_cell_angle_alpha 91.34
_cell_angle_beta 91.34
_cell_angle_gamma 91.34
loop_
_space_group_symop_operation_xyz
'x,y,z'
loop_
_atom_site_label
_atom_site_fract_x
_atom_site_fract_y
_atom_site_fract_z
_atom_site_occupancy
Tb1 0.001 0.319 0.681 1
Tb2 0.170 0.831 0.502 1
Tb3 0.319 0.681 0.001 1
Tb4 0.502 0.170 0.831 1
Tb5 0.681 0.001 0.319 1
Tb6 0.831 0.502 0.170 1
Nd1 0.238 0.238 0.238 1
Nd2 0.496 0.496 0.496 1
Nd3 0.753 0.753 0.753 1
Pu1 0.996 0.996 0.996 1
```

Results
Its space group is R3 (146). As for the calculated volume: 330 Å³/cell. Its formation enthalpy at 0 K is 0.2610 eV per atom.

# 2
This record from Alexandria via LeMat-Bulk describes a relaxed structure of Mn3HOs. The functional is GGA-PBE.

CIF file:
```
data_Mn3HOs
_chemical_formula_sum 'Mn12 H4 Os4'
_space_group_name_H-M_alt 'P 1'
_space_group_IT_number 1
_cell_length_a 7.087
_cell_length_b 7.087
_cell_length_c 4.740
_cell_angle_alpha 101.06
_cell_angle_beta 101.06
_cell_angle_gamma 60.18
loop_
_space_group_symop_operation_xyz
'x,y,z'
loop_
_atom_site_label
_atom_site_fract_x
_atom_site_fract_y
_atom_site_fract_z
_atom_site_occupancy
Mn1 0.092 0.207 0.004 1
Mn2 0.093 0.533 0.351 1
Mn3 0.207 0.092 0.504 1
Mn4 0.234 0.421 0.843 1
Mn5 0.421 0.234 0.343 1
Mn6 0.467 0.907 0.149 1
Mn7 0.533 0.093 0.851 1
Mn8 0.579 0.766 0.657 1
Mn9 0.766 0.579 0.157 1
Mn10 0.793 0.908 0.496 1
Mn11 0.907 0.467 0.649 1
Mn12 0.908 0.793 0.996 1
H1 0.050 0.814 0.378 1
H2 0.186 0.950 0.122 1
H3 0.814 0.050 0.878 1
H4 0.950 0.186 0.622 1
Os1 0.224 0.776 0.750 1
Os2 0.397 0.603 0.250 1
Os3 0.603 0.397 0.750 1
Os4 0.776 0.224 0.250 1
```

Results
For the polymorph energy (0 for the lowest one), the calculation gives 127 kJ/mol of formula units. Its space group is C2/c (15). As for the calculated volume: 201 Å³/cell.